a.
Computed, not measured: an optimized crystal structure of Hf4Nb at the PBE level of DFT.

a b c (Å): 5.0238 5.0238 5.0238
angles (deg): 90.00 90.00 90.00
Sites, in units of the cell vectors:
Hf (0.5000, 0.0000, 0.5000)
Hf (0.0000, 0.0000, 0.0000)
Hf (0.5000, 0.5000, 0.0000)
Nb (0.5000, 0.5000, 0.5000)
Hf (0.0000, 0.5000, 0.5000)

b.
Computed, not measured: an optimized crystal structure of Hf4Nb at the PBE level of DFT.

a b c (Å): 3.4088 3.4088 9.5094
angles (deg): 100.32 100.32 90.00
Sites, in units of the cell vectors:
Hf (0.1959, 0.1959, 0.3919)
Hf (0.8041, 0.8041, 0.6081)
Hf (0.5883, 0.5883, 0.1765)
Hf (0.4117, 0.4117, 0.8235)
Nb (0.0000, 0.0000, 0.0000)

Most stable structure: b

a.
Computed, not measured: an optimized crystal structure of HfNb4 at the PBE level of DFT.

a b c (Å): 4.8603 4.8603 4.8603
angles (deg): 90.00 90.00 90.00
Sites, in units of the cell vectors:
Nb (0.5000, 0.0000, 0.5000)
Nb (0.0000, 0.0000, 0.0000)
Nb (0.5000, 0.5000, 0.0000)
Nb (0.0000, 0.5000, 0.5000)
Hf (0.5000, 0.5000, 0.5000)

b.
Computed, not measured: an optimized crystal structure of HfNb4 at the PBE level of DFT.

a b c (Å): 3.9792 3.9792 7.0891
angles (deg): 106.29 106.29 90.04
Sites, in units of the cell vectors:
Nb (0.2500, 0.2500, 0.0000)
Hf (0.5000, 0.0000, 0.5000)
Nb (0.0985, 0.5985, 0.6971)
Nb (0.7500, 0.7500, 0.0000)
Nb (0.9015, 0.4015, 0.3029)

Most stable structure: b